Record 1
19
Lattice="-7.248 -1.248 -3.435 3.389 -5.651 4.495 -4.146 3.380 7.519" Properties=species:S:1:pos:R:3 comment="Mg5In12Sn2, optimized geometry, DFT PBE" final_energy_ev_per_atom=-2.530 m_tot_mub_per_fu=0.000 polymorph_energy_mev_per_atom=42.3 ef_kj_per_mol_atoms=3.95 pbc="T T T"
In 0.105 -3.490 5.617
Sn -2.119 -0.365 -1.004
Mg -2.073 1.690 3.760
In -8.110 -0.029 2.962
Mg -1.947 -1.282 4.575
In -2.991 -2.484 1.350
In -5.015 -1.036 7.229
In -0.824 -0.157 1.795
In -3.349 -4.085 3.980
In -5.809 -2.969 0.014
Mg -6.058 -2.238 4.004
In -2.792 -3.160 7.039
Mg -7.384 0.238 5.902
In -2.197 -0.550 8.564
In -5.214 -0.360 1.540
In -4.657 0.565 4.599
In -7.182 -3.362 6.784
Mg -0.622 -3.757 2.677
Sn -5.130 -0.883 -2.431



Record 2
16
Lattice="8.182 0.000 0.000 0.000 7.814 0.000 0.000 0.000 9.261" Properties=species:S:1:pos:R:3 comment="Er3TmTe4, optimized geometry, DFT PBE" final_energy_ev_per_atom=-4.755 m_tot_mub_per_fu=2.028 polymorph_energy_mev_per_atom=285.5 e_form_raw_ev_per_atom=-0.914 pbc="T T T"
Te 0.852 6.043 4.631
Er 3.775 2.264 2.776
Te 4.967 5.064 6.685
Tm 7.841 0.898 0.000
Te 4.944 1.771 0.000
Er 0.782 1.230 4.631
Te 0.876 2.750 2.054
Er 7.866 5.550 7.406
Te 4.967 5.064 2.577
Te 0.876 2.750 7.207
Er 7.866 5.550 1.855
Er 3.775 2.264 6.486
Tm 3.750 6.916 4.631
Te 5.895 1.206 4.631
Er 4.874 6.584 0.000
Te 1.804 6.608 0.000



Record 3
4
Lattice="4.897 0.000 0.000 2.449 4.241 0.000 2.449 1.414 3.999" Properties=species:S:1:pos:R:3 comment="Y2BeCr, optimized geometry, DFT PBE" final_energy_ev_per_atom=-6.079 m_tot_mub_per_fu=3.887 ef_kj_per_mol_atoms=47.32 pbc="T T T"
Cr 7.346 4.241 2.999
Y 2.449 1.414 1.000
Be 4.897 2.827 1.999
Y 0.000 0.000 0.000



Record 4
4
Lattice="2.004 0.000 11.015 -1.002 1.735 11.015 -1.002 -1.735 11.015" Properties=species:S:1:pos:R:3 comment="HgTe2Br, optimized geometry, DFT PBE" final_energy_ev_per_atom=-1.906 m_tot_mub_per_fu=0.000 polymorph_energy_mev_per_atom=269.2 e_form_raw_ev_per_atom=0.158 pbc="T T T"
Br 0.000 0.000 16.522
Te 0.000 0.000 2.804
Te 0.000 0.000 30.240
Hg 0.000 0.000 0.000



Record 5
5
Lattice="-0.532 -0.415 -5.874 4.899 -3.303 -0.210 -2.742 -4.100 0.538" Properties=species:S:1:pos:R:3 comment="RbAsSeBr2, optimized geometry, DFT PBE" final_energy_ev_per_atom=-2.801 m_tot_mub_per_fu=0.000 polymorph_energy_mev_per_atom=348.3 e_form_raw_ev_per_atom=-0.312 pbc="T T T"
Br 2.449 -1.652 -0.105
As -1.371 -2.050 0.269
Br -0.266 -0.208 -2.937
Rb 0.813 -3.909 -2.773
Se 0.000 0.000 0.000



Record 6
4
Lattice="5.308 0.000 0.000 2.654 4.596 0.000 2.654 1.532 4.334" Properties=species:S:1:pos:R:3 comment="NaPmPrGe, optimized geometry, DFT PBE" final_energy_ev_per_atom=-4.134 m_tot_mub_per_fu=0.000 ef_kj_per_mol_atoms=-25.79 pbc="T T T"
Ge 5.308 3.064 2.167
Pr 2.654 1.532 1.083
Na 0.000 0.000 0.000
Pm 7.961 4.596 3.250



Record 7
5
Lattice="-1.996 4.008 2.838 -1.069 -3.345 3.971 4.793 0.923 2.068" Properties=species:S:1:pos:R:3 comment="NbInCl3, optimized geometry, DFT PBE" final_energy_ev_per_atom=-3.410 m_tot_mub_per_fu=3.984 polymorph_energy_mev_per_atom=1084.4 e_form_raw_ev_per_atom=0.260 pbc="T T T"
Cl 2.397 0.461 1.034
In 0.000 0.000 0.000
Cl -0.535 -1.672 1.986
Nb 0.864 0.793 4.439
Cl -0.998 2.004 1.419



Record 8
2
Lattice="-2.163 0.464 4.037 1.818 -1.836 3.809 1.765 2.733 3.256" Properties=species:S:1:pos:R:3 comment="PmDy, optimized geometry, DFT PBE" final_energy_ev_per_atom=-3.970 m_tot_mub_per_fu=0.866 polymorph_energy_mev_per_atom=683.3 ef_kj_per_mol_atoms=68.11 pbc="T T T"
Pm 0.710 0.680 5.551
Dy 0.000 0.000 0.000



Record 9
4
Lattice="-4.002 -5.781 0.410 2.477 2.019 3.973 -2.688 0.291 1.517" Properties=species:S:1:pos:R:3 comment="MnIn2Ag, optimized geometry, DFT PBE" final_energy_ev_per_atom=-4.223 m_tot_mub_per_fu=3.473 polymorph_energy_mev_per_atom=9.1 ef_kj_per_mol_atoms=14.63 pbc="T T T"
Ag -0.762 -1.881 2.192
Mn -0.105 1.155 2.745
In -3.345 -2.745 0.964
In 0.000 0.000 0.000



Record 10
5
Lattice="-2.021 -7.282 1.165 4.821 -0.987 2.197 -2.756 1.866 6.884" Properties=species:S:1:pos:R:3 comment="Rb2YVI, optimized geometry, DFT PBE" final_energy_ev_per_atom=-3.058 m_tot_mub_per_fu=6.662 e_form_raw_ev_per_atom=0.756 pbc="T T T"
V 2.411 -0.493 1.099
Rb -1.011 -3.641 0.582
I 0.022 -3.201 5.123
Rb -1.378 0.933 3.442
Y 0.000 0.000 0.000



Record 11
3
Lattice="-3.441 -0.132 1.232 -1.598 -1.245 -4.597 1.306 -3.589 3.263" Properties=species:S:1:pos:R:3 comment="TmThZn, optimized geometry, DFT PBE" final_energy_ev_per_atom=-4.362 m_tot_mub_per_fu=0.000 polymorph_energy_mev_per_atom=176.2 ef_kj_per_mol_atoms=2.60 pbc="T T T"
Tm -0.485 -0.019 0.174
Th -2.891 -2.113 -1.167
Zn -0.356 -2.835 0.892



Record 12
4
Lattice="-3.281 -0.763 3.338 -2.632 -3.263 2.217 2.937 -0.959 3.837" Properties=species:S:1:pos:R:3 comment="AlPt2W, optimized geometry, DFT PBE" final_energy_ev_per_atom=-7.503 m_tot_mub_per_fu=0.000 ef_kj_per_mol_atoms=-29.81 pbc="T T T"
Pt -2.949 -4.962 9.356
Al -0.744 -1.246 2.348
W -2.232 -3.739 7.044
Pt -1.515 -2.516 4.731



Record 13
12
Lattice="7.002 0.225 0.161 0.193 6.717 0.115 0.150 0.155 7.703" Properties=species:S:1:pos:R:3 comment="TiTlH2Cl8, optimized geometry, DFT PBE" final_energy_ev_per_atom=-3.617 m_tot_mub_per_fu=0.000 pbc="T T T"
Cl 5.972 1.612 6.200
Cl 1.275 5.432 6.163
H 5.090 5.253 2.464
Tl 0.075 0.077 3.852
Ti 0.000 0.000 0.000
H 2.256 1.844 5.515
Cl 5.370 5.502 0.494
Cl 1.976 1.595 7.486
Cl 2.381 1.966 4.184
Cl 1.373 5.485 1.780
Cl 4.965 5.131 3.795
Cl 6.071 1.665 1.816



Record 14
7
Lattice="5.596 0.000 0.000 0.000 5.596 0.000 -2.798 -2.798 8.853" Properties=species:S:1:pos:R:3 comment="CeTl2Se2I2, optimized geometry, DFT PBE" final_energy_ev_per_atom=-3.956 m_tot_mub_per_fu=0.136 e_form_raw_ev_per_atom=-0.994 pbc="T T T"
I 2.798 2.798 5.773
Tl 2.798 2.798 2.084
I 0.000 0.000 3.079
Se 2.798 0.000 0.000
Ce 0.000 0.000 0.000
Se 0.000 2.798 0.000
Tl 0.000 0.000 6.769



Record 15
5
Lattice="4.590 0.000 0.000 0.000 4.570 0.000 0.000 0.000 4.590" Properties=species:S:1:pos:R:3 comment="VCu2SiMo, optimized geometry, DFT PBE" final_energy_ev_per_atom=-5.274 m_tot_mub_per_fu=0.242 e_form_raw_ev_per_atom=1.439 pbc="T T T"
Cu 0.000 0.000 2.295
V 2.295 2.285 2.295
Cu 2.295 0.000 0.000
Si 0.000 2.285 0.000
Mo 0.000 0.000 0.000



Record 16
8
Lattice="-0.903 3.730 -6.510 -6.930 -2.926 -0.715 -4.890 2.394 -2.336" Properties=species:S:1:pos:R:3 comment="Li2ReTe, optimized geometry, DFT PBE" final_energy_ev_per_atom=-4.246 m_tot_mub_per_fu=0.000 polymorph_energy_mev_per_atom=459.0 e_form_raw_ev_per_atom=0.608 pbc="T T T"
Li -5.667 -0.764 -1.845
Re 0.000 0.000 0.000
Te -3.917 0.402 -3.613
Li -10.521 2.498 -8.074
Re -4.854 3.263 -6.230
Te -7.868 -0.065 -3.332
Li -2.653 2.564 -4.742
Li -6.604 2.097 -4.462



Record 17
9
Lattice="0.142 0.962 6.918 -4.702 -2.537 -5.363 3.328 -3.091 -0.031" Properties=species:S:1:pos:R:3 comment="Li2Zn4AgAu2, optimized geometry, DFT PBE" final_energy_ev_per_atom=-2.322 m_tot_mub_per_fu=0.000 ef_kj_per_mol_atoms=-27.53 pbc="T T T"
Au 1.273 -1.194 4.829
Zn -1.488 -1.652 -1.629
Zn -1.918 -2.067 0.965
Ag 0.000 0.000 0.000
Zn 0.687 -2.598 0.560
Li -0.769 -4.186 -1.139
Au -2.504 -3.472 -3.304
Zn 0.257 -3.013 3.154
Li -0.463 -0.480 2.664



Record 18
4
Lattice="5.147 -0.043 0.179 4.346 2.758 0.179 1.018 0.291 4.560" Properties=species:S:1:pos:R:3 comment="Li2AsAu, optimized geometry, DFT PBE" final_energy_ev_per_atom=-3.405 m_tot_mub_per_fu=0.000 ef_kj_per_mol_atoms=-45.02 pbc="T T T"
Au 2.447 0.700 0.933
Li 7.990 2.285 3.357
Li 9.389 2.686 0.684
As 5.433 1.554 2.763



Record 19
7
Lattice="4.307 0.000 0.000 0.000 4.336 0.000 0.000 -2.168 7.775" Properties=species:S:1:pos:R:3 comment="KAl4Ga2, optimized geometry, DFT PBE" final_energy_ev_per_atom=-3.197 m_tot_mub_per_fu=0.000 ef_kj_per_mol_atoms=-3.52 pbc="T T T"
Al 2.154 2.168 4.847
Al 2.154 0.000 2.928
Ga 2.154 2.168 1.389
Ga 2.154 0.000 6.386
K 0.000 0.000 0.000
Al 0.000 2.168 2.975
Al 0.000 0.000 4.800



Record 20
20
Lattice="6.270 0.384 0.399 2.459 7.251 0.164 2.459 -0.105 7.252" Properties=species:S:1:pos:R:3 comment="MgAgAs2O6, optimized geometry, DFT PBE" final_energy_ev_per_atom=-5.600 m_tot_mub_per_fu=0.000 e_form_raw_ev_per_atom=-1.251 pbc="T T T"
Ag 4.027 6.282 1.290
O 4.325 4.580 5.103
O 5.635 6.229 3.167
O 5.554 1.301 4.648
Mg 4.027 1.518 5.881
As 2.373 2.736 1.701
O 3.728 2.408 2.849
O 5.763 0.445 1.930
As 8.815 4.794 6.114
Ag 7.162 1.248 6.525
O 5.426 7.085 5.885
O 8.561 5.810 7.497
O 2.419 4.404 1.273
O 7.460 5.122 4.966
As 5.680 5.740 4.818
As 5.508 1.791 2.996
Mg 7.162 6.013 1.934
O 8.770 3.126 6.542
O 6.863 2.950 2.712
O 2.628 1.720 0.317



Record 21
9
Lattice="4.842 0.000 -1.335 -0.712 7.866 -2.581 0.408 0.435 10.928" Properties=species:S:1:pos:R:3 comment="Rb4Tl3Bi2, optimized geometry, DFT PBE" final_energy_ev_per_atom=-2.273 m_tot_mub_per_fu=0.000 ef_kj_per_mol_atoms=-18.47 pbc="T T T"
Tl 4.113 6.548 5.470
Rb 3.722 2.529 4.053
Rb 2.170 6.807 -1.579
Bi 2.743 3.645 0.502
Tl -0.356 3.933 -1.290
Rb 0.816 5.772 2.960
Bi 1.795 4.656 6.510
Tl 0.425 1.752 1.542
Rb 2.369 1.493 8.591



Record 22
4
Lattice="4.586 0.000 0.000 2.293 3.972 0.000 2.293 1.324 3.745" Properties=species:S:1:pos:R:3 comment="TmGePdRh, optimized geometry, DFT PBE" final_energy_ev_per_atom=-6.144 m_tot_mub_per_fu=0.000 ef_kj_per_mol_atoms=-71.00 pbc="T T T"
Rh 0.000 0.000 0.000
Pd 4.586 2.648 1.872
Ge 2.293 1.324 0.936
Tm 6.880 3.972 2.809



Record 23
7
Lattice="4.499 0.000 0.000 0.000 6.362 -0.983 0.000 1.058 6.350" Properties=species:S:1:pos:R:3 comment="Mg2NpSn4, optimized geometry, DFT PBE" final_energy_ev_per_atom=-4.645 m_tot_mub_per_fu=4.105 ef_kj_per_mol_atoms=-5.15 pbc="T T T"
Np 2.249 3.710 2.684
Sn 0.000 5.505 3.982
Mg 0.000 2.168 4.815
Mg 0.000 5.252 0.552
Sn 0.000 1.916 1.385
Sn 2.249 0.529 3.175
Sn 2.249 3.181 -0.492



Record 24
12
Lattice="-4.132 5.743 -1.738 -2.722 -0.380 5.218 5.606 3.998 -0.117" Properties=species:S:1:pos:R:3 comment="AcGaSnPd3, optimized geometry, DFT PBE" final_energy_ev_per_atom=-5.116 m_tot_mub_per_fu=0.000 ef_kj_per_mol_atoms=-64.02 pbc="T T T"
Ga 1.432 4.678 4.420
Pd -4.080 2.591 2.992
Pd -1.567 6.713 3.004
Ga -2.680 4.683 -1.057
Sn 2.133 4.276 1.424
Sn -3.381 5.085 1.939
Pd -2.774 2.773 0.489
Ac -0.451 6.683 0.251
Ac -0.796 2.679 3.112
Pd -2.014 -0.281 3.860
Pd -0.708 -0.099 1.357
Pd 0.319 2.649 0.359



Record 25
4
Lattice="-0.344 -3.581 1.774 1.933 2.982 1.860 -6.609 3.502 1.256" Properties=species:S:1:pos:R:3 comment="CeDyIrSe, optimized geometry, DFT PBE" final_energy_ev_per_atom=-6.933 m_tot_mub_per_fu=0.336 e_form_raw_ev_per_atom=-1.213 pbc="T T T"
Ir 1.075 2.794 2.171
Se -3.969 0.871 1.847
Ce -4.984 3.662 2.752
Dy -1.859 -1.099 2.813



Record 26
5
Lattice="5.823 0.000 0.000 0.000 5.823 0.000 0.000 0.000 5.823" Properties=species:S:1:pos:R:3 comment="Mg3BiBr, optimized geometry, DFT PBE" final_energy_ev_per_atom=-2.018 m_tot_mub_per_fu=0.000 polymorph_energy_mev_per_atom=0.0 e_form_raw_ev_per_atom=0.049 pbc="T T T"
Mg 0.000 2.912 0.000
Br 2.912 2.912 2.912
Mg 2.912 0.000 0.000
Mg 0.000 0.000 2.912
Bi 0.000 0.000 0.000